(P)
A relaxed structure of Li2TcAu, computed with PBE-GGA.

## Properties
Size of the total moment in μB/atom: 0.2690

Cell: 2.6114 4.3961 5.3799 Å, 90.00 90.00 90.00°
Closest atoms and distances in Å follow each position.
Fractional coordinates of all 4 atoms:
Li  0.0000  0.0000  0.0000  6 Li 2.61-2.84, 2 Tc 2.64-2.74
Li  0.5000  0.5000  0.2316  6 Li 2.61-2.84, 2 Au 2.66-2.72
Tc  0.0000  0.0000  0.5087  2 Tc 2.61, 2 Li 2.64-2.74, 4 Au 2.81
Au  0.5000  0.5000  0.7261  2 Au 2.61, 2 Li 2.66-2.72, 4 Tc 2.81

(Q)
A relaxed structure of Li2TcAu, computed with PBE-GGA.

## Properties
Size of the total moment in μB/atom: 0.1536

Cell: 2.6752 4.6690 4.8901 Å, 90.00 90.00 90.00°
Closest atoms and distances in Å follow each position.
Fractional coordinates of all 4 atoms:
Li  0.0000  0.0000  0.0000  6 Li 2.68-2.79, 4 Au 2.69
Li  0.5000  0.0000  0.5000  6 Li 2.68-2.79, 4 Tc 2.69
Tc  0.0000  0.5000  0.5000  2 Tc 2.68, 4 Li 2.69, 4 Au 2.79
Au  0.5000  0.5000  0.0000  2 Au 2.68, 4 Li 2.69, 4 Tc 2.79

Which one sits at the bottom of the stability order? (P) does.